Record 1
DFT (PBE) results for a relaxed TeIrSN2 crystal.

Summary:
**Formation energy (no corrections)**: 870 meV/atom
**SG**: P4/mmm, No. 123

a b c (Å): 3.750 3.750 8.423
angles (deg): 90.00 90.00 90.00
Fractional coordinates of all 5 atoms:
Te 0.000 0.000 0.000
Ir 0.500 0.500 0.500
S 0.500 0.500 0.000
N 0.000 0.500 0.500
N 0.500 0.000 0.500

=====

Record 2
DFT (PBE) results for a relaxed Te2IrSN crystal.

Summary:
**Formation energy (no corrections)**: 549 meV/atom
**SG**: P4/mmm, No. 123

a b c (Å): 5.476 5.476 3.646
angles (deg): 90.00 90.00 90.00
Fractional coordinates of all 5 atoms:
Te 0.000 0.500 0.000
Te 0.500 0.000 0.000
Ir 0.000 0.000 0.000
S 0.500 0.500 0.500
N 0.000 0.000 0.500

=====

Record 3
DFT (PBE) results for a relaxed TeIrSN2 crystal.

Summary:
**Formation energy (no corrections)**: 1960 meV/atom
**SG**: P4/mmm, No. 123

a b c (Å): 3.817 3.817 5.714
angles (deg): 90.00 90.00 90.00
Fractional coordinates of all 5 atoms:
Te 0.000 0.000 0.000
Ir 0.500 0.500 0.500
S 0.000 0.000 0.500
N 0.000 0.500 0.000
N 0.500 0.000 0.000

=====

Record 4
DFT (PBE) results for a relaxed TeIrSN2 crystal.

Summary:
**Formation energy (no corrections)**: 788 meV/atom
**SG**: P4/mmm, No. 123

a b c (Å): 3.787 3.787 6.047
angles (deg): 90.00 90.00 90.00
Fractional coordinates of all 5 atoms:
Te 0.000 0.000 0.000
Ir 0.000 0.000 0.500
S 0.500 0.500 0.000
N 0.000 0.500 0.500
N 0.500 0.000 0.500

=====

Record 5
DFT (PBE) results for a relaxed TiIrS2N crystal.

Summary:
**Formation energy (no corrections)**: 313 meV/atom
**SG**: P4/mmm, No. 123

a b c (Å): 4.832 4.832 3.640
angles (deg): 90.00 90.00 90.00
Fractional coordinates of all 5 atoms:
Ti 0.000 0.000 0.000
Ir 0.500 0.500 0.500
S 0.000 0.500 0.500
S 0.500 0.000 0.500
N 0.500 0.500 0.000

=====

Record 6
DFT (PBE) results for a relaxed TiIrSN2 crystal.

Summary:
**Formation energy (no corrections)**: 872 meV/atom
**SG**: P4/mmm, No. 123

a b c (Å): 3.800 3.800 4.931
angles (deg): 90.00 90.00 90.00
Fractional coordinates of all 5 atoms:
Ti 0.000 0.000 0.000
Ir 0.500 0.500 0.500
S 0.000 0.000 0.500
N 0.000 0.500 0.000
N 0.500 0.000 0.000

=====

Record 7
DFT (PBE) results for a relaxed TiIrSN2 crystal.

Summary:
**Formation energy (no corrections)**: 574 meV/atom
**SG**: P4/mmm, No. 123

a b c (Å): 3.736 3.736 5.543
angles (deg): 90.00 90.00 90.00
Fractional coordinates of all 5 atoms:
Ti 0.000 0.000 0.000
Ir 0.500 0.500 0.500
S 0.500 0.500 0.000
N 0.000 0.500 0.500
N 0.500 0.000 0.500

=====

Record 8
DFT (PBE) results for a relaxed TiIrS2N crystal.

Summary:
**Formation energy (no corrections)**: 595 meV/atom
**SG**: P4/mmm, No. 123

a b c (Å): 4.773 4.773 3.603
angles (deg): 90.00 90.00 90.00
Fractional coordinates of all 5 atoms:
Ti 0.000 0.000 0.000
Ir 0.500 0.500 0.500
S 0.000 0.500 0.000
S 0.500 0.000 0.000
N 0.000 0.000 0.500

=====

Energy relative to the lowest polymorph listed for this composition / meV per atom: 82; 0; 1172; 0; 0; 298; 0; 281
Spin magnetization / μB per cell: 0.3; 0.0; 1.4; 0.3; 0.1; 0.5; 1.7; 0.2
V / Å³ per cell: 118; 109; 83; 87; 85; 71; 77; 82